Entry from Alexandria: a relaxed structure of EuGd2Ag (PBE).

- DFT formation energy: 45.1 meV per atom
- Density of states at the Fermi level: 5.69 states/eV/f.u.
- SG: P4/mmm, No. 123
- Calculated total energy: -10.277 eV/atom
- Magnetic moment: 7.9 μB/f.u.

Cell: 4.764 4.764 5.171 Å, 90.00 90.00 90.00°
Fractional coordinates of all 4 atoms:
Eu: 0.000 0.000 0.000
Gd: 0.000 0.500 0.500
Gd: 0.500 0.000 0.500
Ag: 0.500 0.500 0.000

=====

Entry from Alexandria: a relaxed structure of Re2RuSe (PBE).

- Density of states at the Fermi level: 5.76 states/eV/f.u.
- SG: Cmm2, No. 35
- Calculated total energy: -8.792 eV/atom
- Formation energy from raw total energies: 622 meV per atom
- Magnetic moment: 0.2 μB/f.u.

Cell: 2.754 2.754 9.327 Å, 90.00 90.00 117.03°
Fractional coordinates of all 4 atoms:
Re: 0.000 0.000 0.000
Re: 0.500 0.500 0.235
Ru: 0.500 0.500 0.757
Se: 0.000 0.000 0.518

=====

Entry from Alexandria: a relaxed structure of TlOsRu2 (PBE).

- DFT formation energy: 627.9 meV per atom
- Density of states at the Fermi level: 4.95 states/eV/f.u.
- SG: C2/m, No. 12
- Calculated total energy: -7.409 eV/atom
- Magnetic moment: 0.0 μB/f.u.

Cell: 4.760 4.760 5.080 Å, 99.06 99.06 34.80°
Fractional coordinates of all 4 atoms:
Tl: 0.000 0.000 0.000
Os: 0.500 0.500 0.500
Ru: 0.240 0.240 0.713
Ru: 0.760 0.760 0.287

=====

Which of these has the highest density of states at the Fermi level?
Re2RuSe